{
  "formula": "InIrW",
  "functional": "SCAN",
  "state": "PBEsol geometry",
  "lattice": [[-2.2212, 0.6432, -1.5788], [-2.6707, -0.4628, 3.5689], [1.8194, 3.9874, -0.9352]],
  "species": ["In", "Ir", "W"],
  "frac_coords": [[0.0000, 0.0000, 0.0000], [0.0000, 0.3333, 0.6667], [0.5000, 0.6667, 0.3333]],
  "formation_energy_ev_per_atom": 0.346,
  "dft_energy_ry_per_atom": -4.242,
  "n_ef_per_ev_fu": 1.6,
  "magnetic_moment_mub_per_cell": 0.0,
  "sg": "P-6m2, No. 187",
  "vol_a3_per_atom": 16.23,
  "mass_density_kg_m3": 16737
}